## TbFeSn2 (GGA-PBE)

Data for a relaxed TbFeSn2 crystal.

POSCAR file:
```
TbFeSn2
1.0
-1.045 0.008 4.284
-3.327 -2.498 1.463
1.928 -4.851 2.749
Fe Sn Tb
1 2 1
Cartesian
-1.222 -3.670 4.248
-2.108 -5.179 6.304
-0.336 -2.162 2.192
0.000 0.000 0.000
```

Its space-group type is No. 166. For the energy of formation from the pure elements, the calculation gives -234 meV per atom. The calculation puts the magnetization at 1.7 μB/cell.



## YbEuGa2 (GGA-PBE)

Data for a relaxed YbEuGa2 crystal.

POSCAR file:
```
YbEuGa2
1.0
-4.706 -0.631 2.139
-3.696 -2.622 -2.566
-1.492 -4.702 1.670
Ga Yb Eu
2 1 1
Cartesian
-2.473 -1.989 0.311
-7.420 -5.966 0.932
0.000 0.000 0.000
-4.947 -3.978 0.621
```

Its space-group type is No. 225. For the energy of formation from the pure elements, the calculation gives -506 meV per atom. The calculation puts the magnetization at 7.1 μB/cell.



## SrGa2F (GGA-PBE)

Data for a relaxed SrGa2F crystal.

POSCAR file:
```
SrGa2F
1.0
3.680 0.000 0.000
0.000 3.680 0.000
1.840 1.840 13.064
F Ga Sr
2 4 2
Cartesian
1.840 3.680 6.532
1.840 1.840 0.000
0.908 2.760 3.266
4.600 4.612 9.798
2.772 0.920 3.266
2.760 2.748 9.798
3.680 1.840 6.532
0.000 0.000 0.000
```

Its space-group type is No. 122. The value obtained for the formation energy (no corrections) is -132.3 kJ per mole of atoms. The calculation puts the magnetization at 0.0 μB/cell.



## TaNiHg (GGA-PBE)

Data for a relaxed TaNiHg crystal.

POSCAR file:
```
TaNiHg
1.0
2.983 0.000 0.000
-1.491 2.583 0.000
0.000 0.000 6.704
Ta Ni Hg
1 1 1
Cartesian
0.000 1.722 4.250
1.491 0.861 2.335
0.000 0.000 0.119
```

Its space-group type is No. 156. For the energy of formation from the pure elements, the calculation gives 271 meV per atom. The calculation puts the magnetization at 0.0 μB/cell.



## Ca2ScTl (GGA-PBE)

Data for a relaxed Ca2ScTl crystal.

POSCAR file:
```
Ca2ScTl
1.0
-3.488 3.699 0.473
-2.616 -2.553 0.668
-0.025 -0.894 6.804
Tl Ca Sc
1 2 1
Cartesian
-3.232 -0.252 5.697
-2.525 0.840 2.372
-2.536 -3.305 7.138
-1.798 -2.201 3.947
```

Its space-group type is No. 6. For the energy of formation from the pure elements, the calculation gives -88 meV per atom. The calculation puts the magnetization at 0.0 μB/cell.



## Mg3InIr (GGA-PBE)

Data for a relaxed Mg3InIr crystal.

POSCAR file:
```
Mg3InIr
1.0
5.010 0.000 0.000
0.000 5.010 0.000
0.000 0.000 5.010
Mg In Ir
3 1 1
Cartesian
0.000 2.505 0.000
0.000 0.000 2.505
2.505 0.000 0.000
2.505 2.505 2.505
0.000 0.000 0.000
```

Its space-group type is No. 221. For the energy of formation from the pure elements, the calculation gives -1 meV per atom. The calculation puts the magnetization at 0.0 μB/cell.



## LaNdTlAu (GGA-PBE)

Data for a relaxed LaNdTlAu crystal.

POSCAR file:
```
LaNdTlAu
1.0
3.765 0.000 0.000
0.000 3.765 0.000
0.000 0.000 8.059
Au Tl Nd La
1 1 1 1
Cartesian
1.883 1.883 4.804
1.883 1.883 0.917
0.000 0.000 3.067
0.000 0.000 6.750
```

Its space-group type is No. 99. For the energy of formation from the pure elements, the calculation gives -586 meV per atom. The calculation puts the magnetization at 0.0 μB/cell.



## Tm2GePIr6 (GGA-PBE)

Data for a relaxed Tm2GePIr6 crystal.

POSCAR file:
```
Tm2GePIr6
1.0
5.399 0.000 0.000
0.000 7.955 0.000
0.000 0.000 8.625
Ir Tm P Ge
12 4 2 2
Cartesian
1.316 3.619 4.313
1.384 4.336 0.000
4.084 3.619 4.313
2.700 0.743 6.421
4.058 0.240 0.000
1.342 0.240 0.000
4.041 7.714 4.313
0.000 7.212 2.109
1.358 7.714 4.313
0.000 7.212 6.516
2.700 0.743 2.204
4.015 4.336 0.000
0.000 2.298 1.910
2.700 5.657 6.223
2.700 5.657 2.402
0.000 2.298 6.715
0.000 6.152 0.000
2.700 1.802 4.313
0.000 5.671 4.313
2.700 2.284 0.000
```

Its space-group type is No. 59. For the energy of formation from the pure elements, the calculation gives -469 meV per atom. The calculation puts the magnetization at 0.0 μB/cell.



## Rb2InAg (GGA-PBE)

Data for a relaxed Rb2InAg crystal.

POSCAR file:
```
Rb2InAg
1.0
-3.893 -1.202 1.042
-2.251 -2.363 -2.652
2.540 -11.477 4.737
Rb In Ag
2 1 1
Cartesian
-4.774 -6.637 -0.036
1.171 -8.406 3.162
0.000 0.000 0.000
-1.802 -7.521 1.563
```

Its space-group type is No. 166. For the energy of formation from the pure elements, the calculation gives 317 meV per atom. The calculation puts the magnetization at 0.0 μB/cell.



## BiPd2Se (GGA-PBE)

Data for a relaxed BiPd2Se crystal.

POSCAR file:
```
BiPd2Se
1.0
3.711 0.000 0.000
0.000 4.574 0.000
0.000 0.000 4.574
Se Pd Bi
1 2 1
Cartesian
1.856 2.287 2.287
0.000 2.287 0.000
0.000 0.000 2.287
1.856 0.000 0.000
```

Its space-group type is No. 123. The value obtained for the formation energy (no corrections) is -15.8 kJ per mole of atoms. The calculation puts the magnetization at 0.0 μB/cell.



## Ca5PrPt6 (GGA-PBE)

Data for a relaxed Ca5PrPt6 crystal.

POSCAR file:
```
Ca5PrPt6
1.0
4.712 -0.028 1.570
0.038 7.107 0.013
0.008 -0.014 7.832
Ca Pt Pr
5 6 1
Cartesian
1.594 3.540 3.137
3.166 -0.028 6.211
0.019 3.554 0.006
3.165 3.526 6.278
1.555 -0.014 3.191
3.966 5.291 3.906
0.793 1.774 5.509
2.365 1.737 0.788
0.811 5.305 5.515
3.947 1.760 3.900
2.385 5.343 0.795
0.000 0.000 0.000
```

Its space-group type is No. 65. For the energy of formation from the pure elements, the calculation gives -923 meV per atom. The calculation puts the magnetization at 0.0 μB/cell.



## DyHfAgIr (GGA-PBE)

Data for a relaxed DyHfAgIr crystal.

POSCAR file:
```
DyHfAgIr
1.0
4.842 0.000 0.000
2.421 4.193 0.000
2.421 1.398 3.954
Ag Ir Dy Hf
1 1 1 1
Cartesian
4.842 2.796 1.977
0.000 0.000 0.000
7.263 4.193 2.965
2.421 1.398 0.988
```

Its space-group type is No. 216. For the energy of formation from the pure elements, the calculation gives -465 meV per atom. The calculation puts the magnetization at 0.0 μB/cell.



## LiErPdPt (GGA-PBE)

Data for a relaxed LiErPdPt crystal.

POSCAR file:
```
LiErPdPt
1.0
-1.258 4.454 -0.444
-0.252 1.935 -4.220
-4.141 1.076 -1.820
Pt Li Pd Er
1 1 1 1
Cartesian
-4.238 5.599 -4.864
-2.825 3.732 -3.242
-1.413 1.866 -1.621
0.000 0.000 0.000
```

Its space-group type is No. 216. For the energy of formation from the pure elements, the calculation gives -870 meV per atom. The calculation puts the magnetization at 0.0 μB/cell.



## YReHg2 (GGA-PBE)

Data for a relaxed YReHg2 crystal.

POSCAR file:
```
YReHg2
1.0
5.342 0.014 0.022
1.798 5.031 -0.022
-3.582 -2.506 3.071
Hg Y Re
2 1 1
Cartesian
0.000 0.000 0.000
3.570 2.522 0.000
0.893 2.524 1.524
2.665 0.015 1.546
```

Its space-group type is No. 139. For the energy of formation from the pure elements, the calculation gives 284 meV per atom. The calculation puts the magnetization at 0.1 μB/cell.



## Ba2NpF6 (GGA-PBE)

Data for a relaxed Ba2NpF6 crystal.

POSCAR file:
```
Ba2NpF6
1.0
5.787 0.000 0.000
0.000 5.787 0.000
0.000 0.000 12.492
F Ba Np
12 4 2
Cartesian
4.747 1.040 1.919
1.040 4.747 10.573
4.594 1.193 6.246
4.086 4.086 0.000
1.853 1.853 4.327
4.747 1.040 10.573
3.934 3.934 4.327
1.040 4.747 1.919
1.853 1.853 8.165
3.934 3.934 8.165
1.193 4.594 6.246
1.701 1.701 0.000
0.000 0.000 4.160
2.893 2.893 10.406
2.893 2.893 2.086
0.000 0.000 8.332
0.000 0.000 0.000
2.893 2.893 6.246
```

Its space-group type is No. 136. The value obtained for the formation energy (no corrections) is -325.7 kJ per mole of atoms. The calculation puts the magnetization at 9.0 μB/cell.



## Rb3Tb2SnTe6 (GGA-PBE)

Data for a relaxed Rb3Tb2SnTe6 crystal.

POSCAR file:
```
Rb3Tb2SnTe6
1.0
-5.337 -0.356 5.805
7.594 -1.532 1.519
0.570 8.893 -0.719
Tb Te Rb Sn
2 6 3 1
Cartesian
-1.027 -0.748 4.377
3.284 -1.140 2.948
2.793 1.124 0.847
1.766 0.377 5.223
-1.518 1.516 2.277
1.061 6.628 1.383
4.345 5.490 4.329
0.033 5.882 5.758
5.727 3.111 1.873
-2.900 3.895 4.733
1.413 3.503 3.303
0.000 0.000 0.000
```

Its space-group type is No. 12. The value obtained for the formation energy (no corrections) is -105.4 kJ per mole of atoms. The calculation puts the magnetization at 0.0 μB/cell.



## HgAs2Se2 (GGA-PBE)

Data for a relaxed HgAs2Se2 crystal.

POSCAR file:
```
HgAs2Se2
1.0
-4.102 1.645 -2.888
-2.970 0.245 4.358
-2.299 5.096 1.344
As Se Hg
2 2 1
Cartesian
-3.129 2.311 0.935
-6.242 4.675 1.878
-4.402 3.143 3.218
-4.968 3.843 -0.404
0.000 0.000 0.000
```

Its space-group type is No. 139. The value obtained for the formation energy (no corrections) is 10.2 kJ per mole of atoms. The calculation puts the magnetization at 0.0 μB/cell.



## Ba2TlHg (GGA-PBE)

Data for a relaxed Ba2TlHg crystal.

POSCAR file:
```
Ba2TlHg
1.0
4.237 0.000 0.000
0.000 4.237 0.000
0.000 0.000 8.577
Hg Ba Tl
1 2 1
Cartesian
0.000 2.118 0.000
2.118 0.000 6.469
2.118 0.000 2.109
0.000 2.118 4.289
```

Its space-group type is No. 123. For the energy of formation from the pure elements, the calculation gives -474 meV per atom. The calculation puts the magnetization at 0.0 μB/cell.



## NaP3H (GGA-PBE)

Data for a relaxed NaP3H crystal.

POSCAR file:
```
NaP3H
1.0
-4.309 -0.014 2.728
-3.448 -3.692 -0.699
1.435 -6.187 7.001
P Na H
6 2 2
Cartesian
-3.835 -8.025 5.499
-4.984 -3.093 3.712
-4.610 -4.686 2.227
-6.278 -8.034 7.045
-4.324 -5.941 7.442
-3.117 -3.086 2.530
-7.598 -3.902 2.279
-3.002 -5.143 4.765
-1.184 -2.962 2.882
-4.345 -7.909 7.397
```

Its space-group type is No. 160. The calculation puts the total energy at -0.141 Ha/atom. The calculation puts the magnetization at 0.0 μB/cell.



## Tb2ErAl2 (GGA-PBE)

Data for a relaxed Tb2ErAl2 crystal.

POSCAR file:
```
Tb2ErAl2
1.0
-2.258 2.861 0.170
-1.721 -1.078 -4.705
-8.357 -9.233 5.172
Tb Er Al
4 2 4
Cartesian
-10.158 -5.910 3.674
-2.177 -1.539 -3.037
-5.724 -4.457 -1.071
-6.611 -2.992 1.708
-9.150 -4.909 0.285
-3.185 -2.540 0.352
-9.820 -7.824 1.198
-5.090 -1.578 -1.963
-2.515 0.375 -0.561
-7.245 -5.872 2.600
```

Its space-group type is No. 11. For the energy of formation from the pure elements, the calculation gives -312 meV per atom. The calculation puts the magnetization at 0.0 μB/cell.